VASP calculation (PBE+U) on crystalline Ba2InFeO5 at its relaxed geometry.

The total energy comes out at -6.1091 eV/atom. The value obtained for the volume is 599.0 Å³ per cell.

It has space group Cmc2_1 (No. 36), with a = 3.530 Å, b = 15.266 Å, c = 11.117 Å, α = 90.00°, β = 90.00° and γ = 90.00°. The distinct sites, in fractional coordinates, are Ba at (0.000, 0.112, 0.000), Ba at (0.000, 0.133, 0.638), In at (0.000, 0.211, 0.347), Fe at (0.000, 0.443, 0.766), O at (0.000, 0.053, 0.344), O at (0.000, 0.292, 0.972), O at (0.000, 0.320, 0.715), O at (0.000, 0.349, 0.325) and O at (0.000, 0.498, 0.619).